The following is a DFT calculation (PBE) of Gd2Si after structural relaxation.

Properties
* SG: Fd-3m
* uncorrected energy: -3.7814 eV/atom

Structure (extended XYZ):
```
6
Lattice="-6.073 -1.419 -6.247 -3.706 -7.969 -0.823 -8.452 -1.191 2.250" Properties=species:S:1:pos:R:3 pbc="T T T"
Si -4.558 -2.645 -1.205
Si -9.115 -5.290 -2.410
Gd -8.689 -7.952 -2.219
Gd -6.836 -3.967 -1.807
Gd -9.873 -4.677 -4.931
Gd -11.062 -4.563 -0.682
```

The following is a DFT calculation (PBE) of Gd2Si after structural relaxation.

Properties
* SG: Pnma
* uncorrected energy: -5.4145 eV/atom

Structure (extended XYZ):
```
12
Lattice="7.511 0.000 0.000 0.000 4.428 0.000 0.000 0.000 9.272" Properties=species:S:1:pos:R:3 pbc="T T T"
Si 1.987 1.107 5.769
Gd 0.291 3.321 7.697
Gd 3.465 1.107 3.061
Gd 4.780 3.321 0.665
Gd 6.487 1.107 5.302
Si 5.743 1.107 8.140
Gd 7.221 1.107 1.575
Gd 1.024 3.321 3.971
Gd 4.047 3.321 6.211
Gd 2.732 1.107 8.607
Si 1.769 3.321 1.132
Si 5.524 3.321 3.504
```

The following is a DFT calculation (PBE) of Gd2Si after structural relaxation.

Properties
* SG: P6/mmm
* uncorrected energy: -4.7999 eV/atom

Structure (extended XYZ):
```
3
Lattice="5.048 0.000 0.000 -2.524 4.371 0.000 0.000 0.000 3.136" Properties=species:S:1:pos:R:3 pbc="T T T"
Gd 0.000 2.914 1.568
Si 0.000 0.000 0.000
Gd 2.524 1.457 1.568
```

Repeat the first record exactly.
The following is a DFT calculation (PBE) of Gd2Si after structural relaxation.

Properties
* SG: Fd-3m
* uncorrected energy: -3.7814 eV/atom

Structure (extended XYZ):
```
6
Lattice="-6.073 -1.419 -6.247 -3.706 -7.969 -0.823 -8.452 -1.191 2.250" Properties=species:S:1:pos:R:3 pbc="T T T"
Si -4.558 -2.645 -1.205
Si -9.115 -5.290 -2.410
Gd -8.689 -7.952 -2.219
Gd -6.836 -3.967 -1.807
Gd -9.873 -4.677 -4.931
Gd -11.062 -4.563 -0.682
```